(1)
First-principles (PBE) data for an optimized crystal structure of Tb4TlHg2Rh, as listed in Alexandria via LeMat-Bulk.

Results
- Crystal system: trigonal
- Calculated total energy: -4.1360 eV/atom
- Formation energy: -0.531 eV per atom

Cell and atoms, written as CIF:
```
data_Tb4TlHg2Rh
_chemical_formula_sum 'Tb12 Tl3 Hg6 Rh3'
_symmetry_space_group_name_H-M 'R -3 m'
_symmetry_Int_Tables_number 166
_symmetry_space_group_name_Hall '-R 3 2"'
_cell_length_a 5.2292
_cell_length_b 5.2292
_cell_length_c 25.2529
_cell_angle_alpha 90.00
_cell_angle_beta 90.00
_cell_angle_gamma 120.00
loop_
_atom_site_label
_atom_site_type_symbol
_atom_site_fract_x
_atom_site_fract_y
_atom_site_fract_z
Tb1 Tb 0.0000 0.0000 0.1137
Tb2 Tb 0.0000 0.0000 0.3677
Tl1 Tl 0.0000 0.0000 0.5000
Hg1 Hg 0.0000 0.0000 0.2421
Rh1 Rh 0.0000 0.0000 0.0000
```



(2)
First-principles (PBE) data for an optimized crystal structure of Tb2TlHgRh, as listed in Alexandria via LeMat-Bulk.

Results
- Crystal system: monoclinic
- Calculated total energy: -4.3877 eV/atom
- Formation energy: -0.532 eV per atom

Cell and atoms, written as CIF:
```
data_Tb2TlHgRh
_chemical_formula_sum 'Tb4 Tl2 Hg2 Rh2'
_symmetry_space_group_name_H-M 'P 1 21/m 1'
_symmetry_Int_Tables_number 11
_cell_length_a 7.890
_cell_length_b 4.154
_cell_length_c 8.213
_cell_angle_alpha 90.00
_cell_angle_beta 110.26
_cell_angle_gamma 90.00
loop_
_symmetry_equiv_pos_as_xyz
'x,y,z'
'-x,-y,-z'
'-x,y+1/2,-z'
'x,-y+1/2,z'
loop_
_atom_site_label
_atom_site_type_symbol
_atom_site_fract_x
_atom_site_fract_y
_atom_site_fract_z
Tb1 Tb 0.029 0.250 0.228
Tb2 Tb 0.336 0.750 0.613
Tl1 Tl 0.331 0.250 0.954
Hg1 Hg 0.327 0.750 0.229
Rh1 Rh 0.096 0.250 0.614
```



The highest calculated total energy belongs to which entry? Tb4TlHg2Rh



What is the formation energy in the second record? -0.532 eV per atom



Which of these has the lowest calculated total energy? Tb2TlHgRh